[1]
Here is a relaxed structure of LiAlFe3 from Alexandria via LeMat-Bulk. Energies are from PBE.

Cell lengths 3.9879, 3.9879, 3.9879 Å; angles 90.00, 90.00, 90.00 degrees
Positions (direct):
Li 0.0000 0.0000 0.0000
Al 0.5000 0.5000 0.5000
Fe 0.0000 0.0000 0.5000
Fe 0.0000 0.5000 0.0000
Fe 0.5000 0.0000 0.0000

## Properties
E above lowest polymorph (eV per atom): 0.000
E_form (meV per atom): 774.7

[2]
Here is a relaxed structure of LaPrHo2Er2 from Alexandria via LeMat-Bulk. Energies are from PBE.

Cell lengths 6.9856, 9.8748, 5.6948 Å; angles 90.00, 90.00, 90.00 degrees
Positions (direct):
La 0.0000 0.0000 0.0000
La 0.5000 0.5000 0.5000
Pr 0.0000 0.5000 0.5000
Pr 0.5000 0.0000 0.0000
Ho 0.2491 0.3336 0.0000
Ho 0.2509 0.8336 0.5000
Ho 0.7491 0.1664 0.5000
Ho 0.7509 0.6664 0.0000
Er 0.2499 0.1669 0.5000
Er 0.2501 0.6669 0.0000
Er 0.7499 0.3331 0.0000
Er 0.7501 0.8331 0.5000

## Properties
E_form (meV per atom): 73.5

[3]
Here is a relaxed structure of Tm2FeSi3Pt4 from Alexandria via LeMat-Bulk. Energies are from PBE.

Cell lengths 4.1208, 4.1208, 10.1260 Å; angles 90.00, 90.00, 90.00 degrees
Positions (direct):
Tm 0.0000 0.5000 0.2450
Tm 0.5000 0.0000 0.7550
Fe 0.5000 0.5000 0.0000
Si 0.0000 0.0000 0.0000
Si 0.0000 0.5000 0.6357
Si 0.5000 0.0000 0.3643
Pt 0.0000 0.0000 0.5000
Pt 0.0000 0.5000 0.8654
Pt 0.5000 0.0000 0.1346
Pt 0.5000 0.5000 0.5000

## Properties
Raw formation energy (eV per atom): -0.96

[4]
Here is a relaxed structure of In2AgHg from Alexandria via LeMat-Bulk. Energies are from PBE.

Cell lengths 9.4633, 9.4633, 9.4633 Å; angles 21.09, 21.09, 21.09 degrees
Positions (direct):
In 0.0000 0.0000 0.0000
In 0.2403 0.2403 0.2403
Ag 0.4970 0.4970 0.4970
Hg 0.7527 0.7527 0.7527

## Properties
E_form (meV per atom): 40.2

[5]
Here is a relaxed structure of Pm2Pr6Ho from Alexandria via LeMat-Bulk. Energies are from PBE.

Cell lengths 10.2233, 10.2233, 3.6896 Å; angles 90.00, 90.00, 124.10 degrees
Positions (direct):
Pm 0.1752 0.8248 0.0000
Pm 0.8248 0.1752 0.0000
Pr 0.1606 0.4897 0.5000
Pr 0.3152 0.3152 0.0000
Pr 0.4897 0.1606 0.5000
Pr 0.5103 0.8394 0.5000
Pr 0.6848 0.6848 0.0000
Pr 0.8394 0.5103 0.5000
Ho 0.0000 0.0000 0.5000

## Properties
E above lowest polymorph (eV per atom): 0.000
E_form (meV per atom): 127.6

[6]
Here is a relaxed structure of YCl from Alexandria via LeMat-Bulk. Energies are from PBE.

Cell lengths 7.5227, 7.5227, 7.5227 Å; angles 90.00, 90.00, 90.00 degrees
Positions (direct):
Y 0.0000 0.2500 0.5000
Y 0.0000 0.7500 0.5000
Y 0.2500 0.5000 0.0000
Y 0.5000 0.0000 0.2500
Y 0.5000 0.0000 0.7500
Y 0.7500 0.5000 0.0000
Cl 0.0000 0.5000 0.2500
Cl 0.0000 0.5000 0.7500
Cl 0.2500 0.0000 0.5000
Cl 0.5000 0.2500 0.0000
Cl 0.5000 0.7500 0.0000
Cl 0.7500 0.0000 0.5000

## Properties
Raw formation energy (eV per atom): -0.66

[7]
Here is a relaxed structure of GdZrZnCo from Alexandria via LeMat-Bulk. Energies are from PBE.

Cell lengths 4.7780, 4.7780, 4.7780 Å; angles 60.00, 60.00, 60.00 degrees
Positions (direct):
Gd 0.0000 0.0000 0.0000
Zr 0.5000 0.5000 0.5000
Zn 0.7500 0.7500 0.7500
Co 0.2500 0.2500 0.2500

## Properties
E_form (meV per atom): -135.3

[8]
Here is a relaxed structure of Ac2TlRh3O8 from Alexandria via LeMat-Bulk. Energies are from PBE.

Cell lengths 6.8120, 6.8120, 6.8120 Å; angles 58.91, 58.91, 58.91 degrees
Positions (direct):
Ac 0.0000 0.0000 0.0000
Ac 0.3883 0.3883 0.3883
Tl 0.7607 0.7607 0.7607
Rh 0.3849 0.3849 0.8814
Rh 0.3849 0.8814 0.3849
Rh 0.8814 0.3849 0.3849
O 0.1310 0.1310 0.5777
O 0.1310 0.5777 0.1310
O 0.1567 0.1567 0.1567
O 0.1904 0.6431 0.6431
O 0.5777 0.1310 0.1310
O 0.6047 0.6047 0.6047
O 0.6431 0.1904 0.6431
O 0.6431 0.6431 0.1904

## Properties
Raw formation energy (eV per atom): -1.50

[9]
Here is a relaxed structure of Th6P2C3O from Alexandria via LeMat-Bulk. Energies are from PBE.

Cell lengths 8.7493, 8.7493, 7.8636 Å; angles 104.20, 104.20, 25.51 degrees
Positions (direct):
Th 0.0069 0.0069 0.2463
Th 0.3322 0.3322 0.4373
Th 0.3402 0.3402 0.8998
Th 0.6598 0.6598 0.1002
Th 0.6678 0.6678 0.5627
Th 0.9931 0.9931 0.7537
P 0.1654 0.1654 0.8311
P 0.8346 0.8346 0.1689
C 0.1638 0.1638 0.3388
C 0.5000 0.5000 0.0000
C 0.8362 0.8362 0.6612
O 0.5000 0.5000 0.5000

## Properties
Raw formation energy (eV per atom): -1.10

[10]
Here is a relaxed structure of MnCdTcH from Alexandria via LeMat-Bulk. Energies are from PBE.

Cell lengths 6.5318, 6.5318, 6.5318 Å; angles 155.26, 155.26, 35.27 degrees
Positions (direct):
Mn 0.0000 0.0000 0.0000
Cd 0.3033 0.3033 0.0000
Tc 0.6216 0.6216 0.0000
H 0.4763 0.4763 0.0000

## Properties
E above lowest polymorph (eV per atom): 0.036

[11]
Here is a relaxed structure of CrTcAgMo2 from Alexandria via LeMat-Bulk. Energies are from PBE.

Cell lengths 4.6048, 4.6048, 4.9563 Å; angles 90.00, 90.00, 90.00 degrees
Positions (direct):
Cr 0.0000 0.0000 0.0000
Tc 0.5000 0.5000 0.5000
Ag 0.5000 0.5000 0.0000
Mo 0.0000 0.5000 0.5000
Mo 0.5000 0.0000 0.5000

## Properties
E_form (meV per atom): 2035.1

[12]
Here is a relaxed structure of KLaTl2I6 from Alexandria via LeMat-Bulk. Energies are from PBE.

Cell lengths 8.3542, 9.3361, 14.3915 Å; angles 90.00, 121.78, 90.00 degrees
Positions (direct):
K 0.0000 0.0000 0.0000
K 0.0000 0.5000 0.5000
La 0.5000 0.0000 0.5000
La 0.5000 0.5000 0.0000
Tl 0.1923 0.0832 0.7166
Tl 0.1923 0.4168 0.2166
Tl 0.8077 0.5832 0.7834
Tl 0.8077 0.9168 0.2834
I 0.1377 0.1703 0.4553
I 0.1377 0.3297 0.9553
I 0.2459 0.7189 0.4076
I 0.2459 0.7811 0.9076
I 0.4107 0.0751 0.2616
I 0.4107 0.4249 0.7616
I 0.5893 0.5751 0.2384
I 0.5893 0.9249 0.7384
I 0.7541 0.2189 0.0924
I 0.7541 0.2811 0.5924
I 0.8623 0.6703 0.0447
I 0.8623 0.8297 0.5447

## Properties
Raw formation energy (eV per atom): -1.17